Record 1
Below is a geometry-optimized Pm3Y6Pu structure, with properties calculated at the PBE level.

ΔH_f (0 K)	5.6	kcal/mol of atoms

Unit cell a=9.900 b=9.900 c=6.910 alpha=44.24 beta=44.24 gamma=60.00
Fractional coordinates of all 10 atoms:
Pm  0.386  0.386  0.841
Pm  0.639  0.639  0.084
Pm  0.125  0.125  0.626
Y  0.912  0.585  0.273
Y  0.229  0.912  0.273
Y  0.585  0.229  0.273
Y  0.078  0.419  0.761
Y  0.742  0.078  0.761
Y  0.419  0.742  0.761
Pu  0.885  0.885  0.346



Record 2
Below is a geometry-optimized Pm3Y4Pu structure, with properties calculated at the PBE level.

ΔH_f (0 K)	3.5	kcal/mol of atoms

Unit cell a=3.456 b=11.690 c=8.901 alpha=131.04 beta=101.19 gamma=90.00
Fractional coordinates of all 8 atoms:
Y  0.632  0.380  0.264
Y  0.368  0.620  0.736
Y  0.368  0.116  0.736
Y  0.632  0.884  0.264
Pu  0.500  0.000  0.000
Pm  0.000  0.500  0.000
Pm  0.764  0.764  0.528
Pm  0.236  0.236  0.472



Record 3
Below is a geometry-optimized PmPu2Zn structure, with properties calculated at the PBE level.

excess energy over the best structure of this formula in the dataset	0.0581	eV per atom
ΔH_f (0 K)	2.7	kcal/mol of atoms

Unit cell a=3.550 b=3.550 c=8.514 alpha=90.00 beta=90.00 gamma=90.00
Fractional coordinates of all 4 atoms:
Zn  0.500  0.500  0.000
Pm  0.500  0.500  0.500
Pu  0.000  0.000  0.797
Pu  0.000  0.000  0.203



Record 4
Below is a geometry-optimized PmPuZn10 structure, with properties calculated at the PBE level.

ΔH_f (0 K)	-4.8	kcal/mol of atoms

Unit cell a=4.258 b=5.346 c=9.287 alpha=90.00 beta=90.00 gamma=90.00
Fractional coordinates of all 12 atoms:
Pm  0.000  0.000  0.000
Pu  0.000  0.500  0.500
Zn  0.000  0.000  0.335
Zn  0.000  0.500  0.831
Zn  0.000  0.500  0.169
Zn  0.000  0.000  0.665
Zn  0.500  0.000  0.500
Zn  0.500  0.500  0.000
Zn  0.500  0.251  0.252
Zn  0.500  0.749  0.748
Zn  0.500  0.749  0.252
Zn  0.500  0.251  0.748



| no. | electronic total energy (eV per atom) | DOS(E_F) (states/eV per atom) |
| --- | --- | --- |
| 1 | -6.494 | 1.76 |
| 2 | -6.652 | 2.10 |
| 3 | -8.557 | 3.62 |
| 4 | -2.861 | 1.22 |